1.
Computed, not measured: a relaxed Gd2Y3Al3 crystal at the GGA-PBE level of DFT.

abc: 6.9420 6.9420 5.1254
angles: 90.00 90.00 120.00
Last column: nearest neighbours and their distance in Å.
Space group P-6m2 (No. 187)
Inequivalent atoms, fractional coordinates:
Gd (0.0000, 0.0000, 0.0000) x1  6 Al 3.45, 6 Y 3.47
Gd (0.3333, 0.6667, 0.5000) x1  6 Y 3.31, 6 Al 3.48
Y (0.5079, 0.0158, 0.0000) x3  4 Al 3.14, 2 Y 3.31, 4 Gd 3.31-3.47
Al (0.3840, 0.1920, 0.5000) x3  2 Al 2.94, 4 Y 3.14

Output
Final energy = -5.125 eV/atom
Spin magnetization = 0.05 μB per cell
Distance to the lowest polymorph of the same formula = 0.911 eV per formula unit

---

2.
Computed, not measured: a relaxed CdH8C2S2N4Cl2 crystal at the GGA-PBE level of DFT.

abc: 13.1384 5.7934 6.3251
angles: 90.00 90.00 90.00
Last column: nearest neighbours and their distance in Å.
Space group Pmn2_1 (No. 31)
Inequivalent atoms, fractional coordinates:
Cd (0.0000, 0.2401, 0.0000) x2  2 S 2.52, 2 Cl 2.55-2.61
H (0.0856, 0.8938, 0.5517) x4  1 N 1.02
H (0.1182, 0.5993, 0.5613) x4  1 N 1.02
H (0.1641, 0.8948, 0.0696) x4  1 N 1.02
H (0.2074, 0.1731, 0.5323) x4  1 N 1.02
C (0.2379, 0.8279, 0.5691) x4  2 N 1.33
S (0.1736, 0.3885, 0.1030) x4  1 C 1.72
N (0.1401, 0.7679, 0.5592) x4  2 H 1.02
N (0.2381, 0.9492, 0.0577) x4  2 H 1.02
Cl (0.0000, 0.2513, 0.5881) x2  4 H 2.37-2.55, 1 Cd 2.61
Cl (0.0000, 0.8062, 0.0694) x2  2 H 2.22

Output
Final energy = -5.206 eV/atom

---

3.
Computed, not measured: a relaxed Ba2SiSnIr2 crystal at the GGA-PBE level of DFT.

abc: 4.2883 4.2883 9.8093
angles: 90.00 90.00 90.00
Last column: nearest neighbours and their distance in Å.
Space group P4mm (No. 99)
Inequivalent atoms, fractional coordinates:
Ba (0.0000, 0.0000, 0.0000) x1  4 Si 3.44, 4 Ir 3.46
Ba (0.5000, 0.5000, 0.3985) x1  4 Sn 3.42
Si (0.5000, 0.5000, 0.8335) x1  4 Ir 2.40
Sn (0.0000, 0.0000, 0.5606) x1  4 Ir 2.67
Ir (0.0000, 0.5000, 0.7234) x2  2 Si 2.40, 2 Sn 2.67

Output
Final energy = -5.723 eV/atom
Spin magnetization = 0.62 μB per cell

---

4.
Computed, not measured: a relaxed SmZrGa2Au2 crystal at the GGA-PBE level of DFT.

abc: 4.5047 4.5047 6.9577
angles: 90.00 90.00 120.00
Last column: nearest neighbours and their distance in Å.
Space group P-6m2 (No. 187)
Inequivalent atoms, fractional coordinates:
Sm (0.0000, 0.0000, 0.0000) x1  6 Au 3.19, 6 Ga 3.31, 2 Zr 3.48
Zr (0.0000, 0.0000, 0.5000) x1  6 Ga 2.96, 6 Au 3.07
Ga (0.6667, 0.3333, 0.2954) x2  3 Au 2.61, 1 Ga 2.85
Au (0.3333, 0.6667, 0.2656) x2  3 Ga 2.61

Output
Final energy = -5.008 eV/atom
Spin magnetization = 0.03 μB per cell